# YTl2Cu2

An optimized crystal structure of YTl2Cu2 (GGA-PBE, the Alexandria database).

## Properties
Energy relative to the elements (meV per atom): -8
ρ (g cm⁻³): 9.56
Crystal system: tetragonal
Offset from the most stable computed form (meV per atom): 0

Unit cell a=4.3376 b=4.3376 c=6.5299 alpha=70.60 beta=70.60 gamma=90.00
With the nearest neighbours (Å) after each atom.
Positions (direct):
Y (0.0000, 0.0000, 0.0000)  8 Cu 3.28, 8 Tl 3.61
Tl (0.7500, 0.2500, 0.5000)  4 Cu 2.77, 4 Tl 3.07
Tl (0.2500, 0.7500, 0.5000)  4 Cu 2.77, 4 Tl 3.07
Cu (0.3995, 0.3995, 0.2010)  1 Cu 2.32
Cu (0.6005, 0.6005, 0.7990)  1 Cu 2.32